Entry 1:
# KBi2Te2, optimized geometry, DFT PBE
# Formation energy without anion corrections: -0.22 eV per atom
# Energy above the lowest structure with this stoichiometry: 0.41 eV per formula unit
# DOS at the Fermi energy: 2.64 states/eV/f.u.
data_KBi2Te2
_chemical_formula_sum 'K2 Bi4 Te4'
_symmetry_space_group_name_H-M 'C 1 2/m 1'
_symmetry_Int_Tables_number 12
_symmetry_space_group_name_Hall '-C 2y'
_cell_length_a 9.522
_cell_length_b 7.191
_cell_length_c 6.700
_cell_angle_alpha 90.00
_cell_angle_beta 118.72
_cell_angle_gamma 90.00
loop_
_atom_site_label
_atom_site_type_symbol
_atom_site_fract_x
_atom_site_fract_y
_atom_site_fract_z
K1 K 0.000 0.000 0.000
Bi1 Bi 0.000 0.266 0.500
Te1 Te 0.201 0.500 0.308

=====

Entry 2:
# TbPm4In, optimized geometry, DFT PBE
# Energy relative to the elements: -0.073 eV/atom
# Energy above the lowest structure with this stoichiometry: 0.00 eV per formula unit
# DOS at the Fermi energy: 11.12 states/eV/f.u.
data_TbPm4In
_chemical_formula_sum 'Tb1 Pm4 In1'
_symmetry_space_group_name_H-M 'P 4/m m m'
_symmetry_Int_Tables_number 123
_symmetry_space_group_name_Hall '-P 4 2'
_cell_length_a 4.153
_cell_length_b 4.153
_cell_length_c 11.157
_cell_angle_alpha 90.00
_cell_angle_beta 90.00
_cell_angle_gamma 90.00
loop_
_atom_site_label
_atom_site_type_symbol
_atom_site_fract_x
_atom_site_fract_y
_atom_site_fract_z
Tb1 Tb 0.000 0.000 0.000
Pm1 Pm 0.000 0.000 0.353
Pm2 Pm 0.500 0.500 0.168
In1 In 0.500 0.500 0.500

=====

Question: The lowest DOS at the Fermi energy belongs to which entry?
Answer: KBi2Te2